## P
Na2TeH2: relaxed, PBE.

```
data_Na2TeH2
_symmetry_space_group_name_H-M 'P 1'
_symmetry_Int_Tables_number 1
_cell_length_a 8.1584
_cell_length_b 8.1584
_cell_length_c 5.3204
_cell_angle_alpha 90.00
_cell_angle_beta 90.00
_cell_angle_gamma 90.00
loop_
_symmetry_equiv_pos_as_xyz
'x,y,z'
loop_
_atom_site_label
_atom_site_fract_x
_atom_site_fract_y
_atom_site_fract_z
Na1 0.2784 0.7784 0.0000
Na2 0.7784 0.7216 0.0000
Na3 0.7216 0.2216 0.0000
Na4 0.2216 0.2784 0.0000
Te1 0.0000 0.0000 0.0000
Te2 0.5000 0.5000 0.0000
H1 0.0327 0.5327 0.5000
H2 0.5327 0.9673 0.5000
H3 0.9673 0.4673 0.5000
H4 0.4673 0.0327 0.5000
```

Output
SG: P4/mbm, No. 127

## Q
Na2TeH2: relaxed, PBE.

```
data_Na2TeH2
_symmetry_space_group_name_H-M 'P 1'
_symmetry_Int_Tables_number 1
_cell_length_a 5.0063
_cell_length_b 5.0063
_cell_length_c 5.4599
_cell_angle_alpha 62.71
_cell_angle_beta 62.71
_cell_angle_gamma 90.00
loop_
_symmetry_equiv_pos_as_xyz
'x,y,z'
loop_
_atom_site_label
_atom_site_fract_x
_atom_site_fract_y
_atom_site_fract_z
Na1 0.7500 0.2500 0.5000
Na2 0.2500 0.7500 0.5000
Te1 0.0000 0.0000 0.0000
H1 0.2448 0.2448 0.5104
H2 0.7552 0.7552 0.4896
```

Output
SG: I4/mmm, No. 139

The computed energies, referenced to the most stable structure and given in kJ/mol of atoms, are P 0.0; Q 9.8.

## P
Na2TeH2: relaxed, PBE.

```
data_Na2TeH2
_symmetry_space_group_name_H-M 'P 1'
_symmetry_Int_Tables_number 1
_cell_length_a 7.1253
_cell_length_b 7.1253
_cell_length_c 4.1347
_cell_angle_alpha 90.00
_cell_angle_beta 90.00
_cell_angle_gamma 90.00
loop_
_symmetry_equiv_pos_as_xyz
'x,y,z'
loop_
_atom_site_label
_atom_site_fract_x
_atom_site_fract_y
_atom_site_fract_z
Na1 0.2362 0.7362 0.5000
Na2 0.7362 0.7638 0.5000
Na3 0.7638 0.2638 0.5000
Na4 0.2638 0.2362 0.5000
Te1 0.0000 0.0000 0.0000
Te2 0.5000 0.5000 0.0000
H1 0.4621 0.9621 0.0000
H2 0.9621 0.5379 0.0000
H3 0.5379 0.0379 0.0000
H4 0.0379 0.4621 0.0000
```

Output
SG: P4/mbm, No. 127

## Q
Na2TeH2: relaxed, PBE.

```
data_Na2TeH2
_symmetry_space_group_name_H-M 'P 1'
_symmetry_Int_Tables_number 1
_cell_length_a 5.1883
_cell_length_b 9.0409
_cell_length_c 5.2593
_cell_angle_alpha 107.81
_cell_angle_beta 119.55
_cell_angle_gamma 90.00
loop_
_symmetry_equiv_pos_as_xyz
'x,y,z'
loop_
_atom_site_label
_atom_site_fract_x
_atom_site_fract_y
_atom_site_fract_z
Na1 0.8631 0.1272 0.2537
Na2 0.3906 0.6272 0.2537
Na3 0.1369 0.8728 0.7463
Na4 0.6094 0.3728 0.7463
Te1 0.7673 0.7500 0.0000
Te2 0.2327 0.2500 0.0000
H1 0.9795 0.5210 0.5604
H2 0.4192 0.9790 0.4396
H3 0.0205 0.4790 0.4396
H4 0.5808 0.0210 0.5604
```

Output
SG: C2/c, No. 15

The computed energies, referenced to the most stable structure and given in kJ/mol of atoms, are P 11.2; Q 0.0.

## P
NaTeH2: relaxed, PBE.

```
data_NaTeH2
_symmetry_space_group_name_H-M 'P 1'
_symmetry_Int_Tables_number 1
_cell_length_a 4.9650
_cell_length_b 4.9889
_cell_length_c 7.8039
_cell_angle_alpha 96.98
_cell_angle_beta 95.09
_cell_angle_gamma 91.06
loop_
_symmetry_equiv_pos_as_xyz
'x,y,z'
loop_
_atom_site_label
_atom_site_fract_x
_atom_site_fract_y
_atom_site_fract_z
Na1 0.1847 0.9202 0.6214
Na2 0.2563 0.8175 0.1194
Te1 0.2036 0.3678 0.3694
Te2 0.7192 0.8533 0.8665
H1 0.8686 0.3436 0.3111
H2 0.7246 0.5219 0.7947
H3 0.2823 0.3872 0.8607
H4 0.1759 0.3110 0.9009
```

Output
SG: P1, No. 1

## Q
NaTeH2: relaxed, PBE.

```
data_NaTeH2
_symmetry_space_group_name_H-M 'P 1'
_symmetry_Int_Tables_number 1
_cell_length_a 4.5159
_cell_length_b 3.2200
_cell_length_c 10.2510
_cell_angle_alpha 90.00
_cell_angle_beta 103.69
_cell_angle_gamma 90.00
loop_
_symmetry_equiv_pos_as_xyz
'x,y,z'
loop_
_atom_site_label
_atom_site_fract_x
_atom_site_fract_y
_atom_site_fract_z
Na1 0.0220 0.0000 0.0466
Na2 0.0220 0.5000 0.5466
Te1 0.6399 0.0000 0.7234
Te2 0.6399 0.5000 0.2234
H1 0.1602 0.0000 0.3861
H2 0.1602 0.5000 0.8861
H3 0.3020 0.0000 0.4446
H4 0.3020 0.5000 0.9446
```

Output
SG: Cm, No. 8

The computed energies, referenced to the most stable structure and given in kJ/mol of atoms, are P 0.0; Q 3.0.

## P
NaTeH2: relaxed, PBE.

```
data_NaTeH2
_symmetry_space_group_name_H-M 'P 1'
_symmetry_Int_Tables_number 1
_cell_length_a 4.9803
_cell_length_b 5.0328
_cell_length_c 7.9493
_cell_angle_alpha 83.05
_cell_angle_beta 85.08
_cell_angle_gamma 62.34
loop_
_symmetry_equiv_pos_as_xyz
'x,y,z'
loop_
_atom_site_label
_atom_site_fract_x
_atom_site_fract_y
_atom_site_fract_z
Na1 0.8141 0.2091 0.4540
Na2 0.4423 0.8128 0.8369
Te1 0.1375 0.5216 0.6228
Te2 0.9306 0.2784 0.0636
H1 0.2159 0.6165 0.4174
H2 0.1181 0.4753 0.0895
H3 0.5821 0.8722 0.3757
H4 0.4966 0.9545 0.2959
```

Output
SG: P1, No. 1

## Q
NaTeH2: relaxed, PBE.

```
data_NaTeH2
_symmetry_space_group_name_H-M 'P 1'
_symmetry_Int_Tables_number 1
_cell_length_a 4.3230
_cell_length_b 4.3230
_cell_length_c 4.3230
_cell_angle_alpha 60.00
_cell_angle_beta 60.00
_cell_angle_gamma 60.00
loop_
_symmetry_equiv_pos_as_xyz
'x,y,z'
loop_
_atom_site_label
_atom_site_fract_x
_atom_site_fract_y
_atom_site_fract_z
Na1 0.0000 0.0000 0.0000
Te1 0.5000 0.5000 0.5000
H1 0.2500 0.2500 0.2500
H2 0.7500 0.7500 0.7500
```

Output
SG: Fm-3m, No. 225

## R
NaTeH2: relaxed, PBE.

```
data_NaTeH2
_symmetry_space_group_name_H-M 'P 1'
_symmetry_Int_Tables_number 1
_cell_length_a 5.5168
_cell_length_b 5.8003
_cell_length_c 5.8093
_cell_angle_alpha 90.00
_cell_angle_beta 90.00
_cell_angle_gamma 120.23
loop_
_symmetry_equiv_pos_as_xyz
'x,y,z'
loop_
_atom_site_label
_atom_site_fract_x
_atom_site_fract_y
_atom_site_fract_z
Na1 0.9418 0.7240 0.2500
Na2 0.0582 0.2760 0.7500
Te1 0.3837 0.9361 0.7500
Te2 0.6163 0.0639 0.2500
H1 0.3201 0.4263 0.3146
H2 0.6799 0.5737 0.6854
H3 0.3201 0.4263 0.1854
H4 0.6799 0.5737 0.8146
```

Output
SG: P2_1/m, No. 11

## S
NaTeH2: relaxed, PBE.

```
data_NaTeH2
_symmetry_space_group_name_H-M 'P 1'
_symmetry_Int_Tables_number 1
_cell_length_a 4.3976
_cell_length_b 4.3976
_cell_length_c 8.0820
_cell_angle_alpha 74.21
_cell_angle_beta 74.21
_cell_angle_gamma 90.00
loop_
_symmetry_equiv_pos_as_xyz
'x,y,z'
loop_
_atom_site_label
_atom_site_fract_x
_atom_site_fract_y
_atom_site_fract_z
Na1 0.5000 0.5000 0.0000
Na2 0.2500 0.7500 0.5000
Te1 0.0000 0.0000 0.0000
Te2 0.7500 0.2500 0.5000
H1 0.8739 0.1250 0.2500
H2 0.8761 0.6250 0.2500
H3 0.3750 0.1261 0.7500
H4 0.8750 0.1239 0.7500
```

Output
SG: I4_1/amd, No. 141

The computed energies, referenced to the most stable structure and given in kJ/mol of atoms, are P 0.0; Q 64.6; R 4.6; S 45.2.